First-principles (GGA-PBE) data for BaSiPt2 after structural relaxation, as listed in Alexandria.

- formation energy without anion corrections (eV per atom) = 0.07
- energy (eV per formula unit) = -19.2
- total magnetization (μB/f.u.) = 0.00

Cell and atoms, written as POSCAR:
```
BaSiPt2
1.0
-1.894 -4.057 -1.936
4.231 -0.876 -2.264
1.143 -1.904 2.871
Ba Pt Si
1 2 1
direct
0.000 0.500 0.500
0.000 0.000 0.000
0.500 0.500 0.000
0.500 0.000 0.500
```